1.
First-principles (GGA-PBE) data for a geometry-optimized Gd2CuAu structure, as listed in the Alexandria database.

Electronic total energy = -8.717 eV per atom
Space group = R-3m
E_form = 0.167 eV per atom
N(E_F) = 1.19 states/eV/atom

abc: 9.7263 9.7263 9.7263
angles: 21.87 21.87 21.87
With the nearest neighbours (Å) after each atom.
Positions (direct):
Gd: 0.1001 0.1001 0.1001  3 Cu 2.85, 1 Au 2.85
Gd: 0.8999 0.8999 0.8999  3 Cu 2.85, 1 Au 2.85
Cu: 0.5000 0.5000 0.5000  6 Gd 2.85
Au: 0.0000 0.0000 0.0000  2 Gd 2.85


2.
First-principles (GGA-PBE) data for a geometry-optimized LaBeSn2As structure, as listed in the Alexandria database.

Electronic total energy = -3.132 eV per atom
Space group = P4/mmm
E_form = 1.130 eV per atom
N(E_F) = 0.99 states/eV/atom

abc: 6.1071 6.1071 5.5897
angles: 90.00 90.00 90.00
With the nearest neighbours (Å) after each atom.
Positions (direct):
La: 0.0000 0.0000 0.0000  2 As 2.79, 4 Sn 3.05
Be: 0.5000 0.5000 0.5000  8 Sn 4.14, 4 As 4.32
Sn: 0.0000 0.5000 0.0000  2 La 3.05
Sn: 0.5000 0.0000 0.0000  2 La 3.05
As: 0.0000 0.0000 0.5000  2 La 2.79